No. 1
Below is a relaxed La4DyC10 crystal, with properties calculated at the PBE-GGA level.

Cell lengths 14.145, 14.038, 4.267 Å; angles 82.73, 79.86, 17.41 degrees
Fractional coordinates of all 15 atoms:
C1 0.201 0.400 0.600
C2 0.600 0.400 0.600
C3 0.195 0.996 0.004
C4 0.799 0.600 0.400
C5 0.400 0.201 0.799
C6 0.600 0.799 0.201
C7 0.400 0.600 0.400
C8 0.805 0.004 0.996
C9 0.004 0.805 0.195
C10 0.996 0.195 0.805
Dy1 0.000 0.000 0.000
La1 0.801 0.801 0.199
La2 0.402 0.402 0.598
La3 0.199 0.199 0.801
La4 0.598 0.598 0.402

Fermi-level density of states ... 6.092 states/eV/cell
M_tot ... 0.0 μB per formula unit
Formation energy from the elements ... -144 meV per atom
Space-group type ... Fmmm (69)

***

No. 2
Below is a relaxed Y2Er9Sc crystal, with properties calculated at the PBE-GGA level.

Cell lengths 4.952, 4.952, 14.824 Å; angles 90.00, 90.00, 90.00 degrees
Fractional coordinates of all 12 atoms:
Y1 0.000 0.000 0.332
Y2 0.000 0.000 0.668
Er1 0.000 0.500 0.500
Er2 0.500 0.000 0.500
Er3 0.000 0.500 0.838
Er4 0.000 0.500 0.162
Er5 0.500 0.500 0.000
Er6 0.500 0.000 0.162
Er7 0.500 0.000 0.838
Er8 0.500 0.500 0.669
Er9 0.500 0.500 0.331
Sc1 0.000 0.000 0.000

Fermi-level density of states ... 17.980 states/eV/cell
M_tot ... 0.0 μB per formula unit
Formation energy from the elements ... 33 meV per atom
Space-group type ... P4/mmm (123)

***

No. 3
Below is a relaxed Tc2Rh crystal, with properties calculated at the PBE-GGA level.

Cell lengths 4.173, 4.173, 4.173 Å; angles 60.00, 60.00, 60.00 degrees
Fractional coordinates of all 3 atoms:
Rh1 0.000 0.000 0.000
Tc1 0.250 0.250 0.250
Tc2 0.750 0.750 0.750

Energy relative to the lowest polymorph listed for this composition ... 95.59 kJ per mole of atoms
Fermi-level density of states ... 5.124 states/eV/cell
M_tot ... 0.0 μB per formula unit
Formation energy from the elements ... 872 meV per atom
Space-group type ... Fm-3m (225)

***

No. 4
Below is a relaxed Zr2Sc6N crystal, with properties calculated at the PBE-GGA level.

Cell lengths 5.639, 8.393, 8.393 Å; angles 102.39, 89.75, 89.75 degrees
Fractional coordinates of all 18 atoms:
Sc1 0.089 0.441 0.806
Sc2 0.411 0.194 0.559
Sc3 0.911 0.559 0.194
Sc4 0.917 0.063 0.694
Sc5 0.926 0.823 0.937
Sc6 0.074 0.177 0.063
Sc7 0.417 0.694 0.063
Sc8 0.589 0.806 0.441
Sc9 0.426 0.937 0.823
Sc10 0.083 0.937 0.306
Sc11 0.574 0.063 0.177
Sc12 0.583 0.306 0.937
Zr1 0.592 0.558 0.681
Zr2 0.908 0.319 0.442
Zr3 0.092 0.681 0.558
Zr4 0.408 0.442 0.319
N1 0.250 0.937 0.063
N2 0.750 0.063 0.937

Fermi-level density of states ... 25.376 states/eV/cell
M_tot ... 0.0 μB per formula unit
Energy relative to the elements, uncorrected ... -0.400 eV per atom
Space-group type ... C2/c (15)

***

No. 5
Below is a relaxed MgZrTi2N crystal, with properties calculated at the PBE-GGA level.

Cell lengths 4.202, 4.202, 4.548 Å; angles 90.00, 90.00, 90.00 degrees
Fractional coordinates of all 5 atoms:
Zr1 0.000 0.000 0.500
Ti1 0.000 0.500 0.000
Ti2 0.500 0.000 0.000
Mg1 0.500 0.500 0.500
N1 0.000 0.000 0.000

Fermi-level density of states ... 4.134 states/eV/cell
M_tot ... 0.0 μB per formula unit
Energy relative to the elements, uncorrected ... -0.702 eV per atom
Space-group type ... P4/mmm (123)

***

No. 6
Below is a relaxed Na2GeAuN crystal, with properties calculated at the PBE-GGA level.

Cell lengths 4.880, 3.942, 4.880 Å; angles 90.00, 90.00, 90.00 degrees
Fractional coordinates of all 5 atoms:
N1 0.000 0.000 0.000
Au1 0.500 0.500 0.500
Ge1 0.000 0.500 0.000
Na1 0.500 0.000 0.000
Na2 0.000 0.000 0.500

Fermi-level density of states ... 1.015 states/eV/cell
M_tot ... 0.0 μB per formula unit
Energy relative to the elements, uncorrected ... 0.062 eV per atom
Space-group type ... P4/mmm (123)

***

No. 7
Below is a relaxed Nd12Y7Er crystal, with properties calculated at the PBE-GGA level.

Cell lengths 8.853, 8.853, 8.853 Å; angles 88.32, 88.32, 88.32 degrees
Fractional coordinates of all 20 atoms:
Y1 0.932 0.852 0.612
Y2 0.612 0.932 0.852
Y3 0.068 0.148 0.388
Y4 0.852 0.612 0.932
Y5 0.388 0.068 0.148
Y6 0.500 0.500 0.500
Y7 0.148 0.388 0.068
Nd1 0.147 0.741 0.272
Nd2 0.613 0.139 0.490
Nd3 0.139 0.490 0.613
Nd4 0.490 0.613 0.139
Nd5 0.741 0.272 0.147
Nd6 0.728 0.853 0.259
Nd7 0.853 0.259 0.728
Nd8 0.861 0.510 0.387
Nd9 0.387 0.861 0.510
Nd10 0.259 0.728 0.853
Nd11 0.272 0.147 0.741
Nd12 0.510 0.387 0.861
Er1 0.000 0.000 0.000

Energy relative to the lowest polymorph listed for this composition ... 0.00 kJ per mole of atoms
Fermi-level density of states ... 39.636 states/eV/cell
M_tot ... 0.0 μB per formula unit
Formation energy from the elements ... 214 meV per atom
Space-group type ... R-3 (148)

***

No. 8
Below is a relaxed Na2SnPdF8 crystal, with properties calculated at the PBE-GGA level.

Cell lengths 5.057, 5.137, 7.109 Å; angles 85.25, 93.42, 94.65 degrees
Site moments in Bohr magnetons follow the coordinates.
Fractional coordinates of all 12 atoms:
F1 0.703 0.725 0.497  0.00
F2 0.174 0.743 0.176  0.00
F3 0.826 0.257 0.824  0.00
F4 0.863 0.155 0.235  0.00
F5 0.321 0.250 0.010  0.00
F6 0.297 0.275 0.503  0.00
F7 0.137 0.845 0.765  0.00
F8 0.679 0.750 0.990  0.00
Na1 0.523 0.485 0.256  0.00
Na2 0.477 0.515 0.744  0.00
Sn1 0.000 0.000 0.000  0.00
Pd1 0.000 0.000 0.500  0.10

M_tot ... 0.1 μB per formula unit
Energy relative to the elements, uncorrected ... -2.280 eV per atom
Space-group type ... P-1 (2)